Compound: Rb2MnSnO4
Source: Alexandria via LeMat-Bulk
Functional: PBE with a Hubbard U
Structure: optimized geometry

Values from the calculation:
E = -5.734 eV per atom
total magnetization = 10.000 μB/cell

abc: 8.679 8.326 6.141
angles: 90.00 134.95 90.00
Space group C2 (No. 5)
One atom of each set of equivalent atoms:
Rb: 0.000 0.000 0.000 [2 per cell]
Rb: 0.000 0.250 0.500 [2 per cell]
Mn: 0.000 0.751 0.500 [2 per cell]
Sn: 0.000 0.501 0.000 [2 per cell]
O: 0.135 0.629 0.897 [4 per cell]
O: 0.238 0.373 0.373 [4 per cell]